YHg3C | PBE | optimized geometry

abc: 6.0191 6.0191 6.0191
angles: 90.00 90.00 90.00
Last column: magnetic moment on the atom in μB.
Element x y z (fractional)
Y 0.0000 0.0000 0.0000  0.05
C 0.5000 0.5000 0.5000  1.04
Hg 0.0000 0.5000 0.0000  0.02
Hg 0.0000 0.0000 0.5000  0.02
Hg 0.5000 0.0000 0.0000  0.03

The spin magnetization comes out at 0.538 μB/atom. Its density is 5.4 g cm⁻³. For the total energy, the calculation gives -1.678 eV per atom. Its energy of formation is 1.641 eV/atom. Its volume is 218.1 Å³/cell. For the distance to the lowest polymorph of the same formula, the calculation gives 4.33 eV per formula unit.